Sr2SiP6Os after structural relaxation, computed with PBE.

Computed properties:
The relative energy among the computed polymorphs is 0.0000 eV/atom.

```
data_Sr2SiP6Os
_chemical_formula_sum 'Sr4 Si2 P12 Os2'
_cell_length_a 11.855
_cell_length_b 5.521
_cell_length_c 7.874
_cell_angle_alpha 90.00
_cell_angle_beta 130.34
_cell_angle_gamma 90.00
_symmetry_space_group_name_H-M 'C 1 2/m 1'
_symmetry_Int_Tables_number 12
loop_
_symmetry_equiv_pos_as_xyz
'x,y,z'
'-x,-y,-z'
'-x,y,-z'
'x,-y,z'
'x+1/2,y+1/2,z'
'-x+1/2,-y+1/2,-z'
'-x+1/2,y+1/2,-z'
'x+1/2,-y+1/2,z'
loop_
_atom_site_label
_atom_site_fract_x
_atom_site_fract_y
_atom_site_fract_z
_atom_site_occupancy
Sr1 0.227 0.000 0.216 1
Si1 0.000 0.500 0.000 1
P1 0.042 0.301 0.321 1
P2 0.239 0.500 0.127 1
Os1 0.000 0.000 0.500 1
```

***

TePOs after structural relaxation, computed with PBE.

Computed properties:
The relative energy among the computed polymorphs is 0.1625 eV/atom.

```
data_TePOs
_chemical_formula_sum 'Te2 P2 Os2'
_cell_length_a 5.212
_cell_length_b 3.646
_cell_length_c 6.230
_cell_angle_alpha 90.00
_cell_angle_beta 93.97
_cell_angle_gamma 90.00
_symmetry_space_group_name_H-M 'P 1 2/m 1'
_symmetry_Int_Tables_number 10
loop_
_symmetry_equiv_pos_as_xyz
'x,y,z'
'-x,-y,-z'
'-x,y,-z'
'x,-y,z'
loop_
_atom_site_label
_atom_site_fract_x
_atom_site_fract_y
_atom_site_fract_z
_atom_site_occupancy
Te1 0.213 0.000 0.146 1
P1 0.312 0.500 0.626 1
Os1 0.000 0.000 0.500 1
Os2 0.500 0.500 0.000 1
```

***

TePOs after structural relaxation, computed with PBE.

Computed properties:
The relative energy among the computed polymorphs is 0.0000 eV/atom.

```
data_TePOs
_chemical_formula_sum 'Te2 P2 Os2'
_cell_length_a 3.602
_cell_length_b 5.206
_cell_length_c 6.191
_cell_angle_alpha 90.00
_cell_angle_beta 90.00
_cell_angle_gamma 90.00
_symmetry_space_group_name_H-M 'P m n 21'
_symmetry_Int_Tables_number 31
loop_
_symmetry_equiv_pos_as_xyz
'x,y,z'
'-x+1/2,-y,z+1/2'
'-x,y,z'
'x+1/2,-y,z+1/2'
loop_
_atom_site_label
_atom_site_fract_x
_atom_site_fract_y
_atom_site_fract_z
_atom_site_occupancy
Te1 0.000 0.067 0.000 1
P1 0.000 0.465 0.264 1
Os1 0.000 0.290 0.616 1
```

***

TeP3Os2 after structural relaxation, computed with PBE.

Computed properties:
The calculation puts the final energy at -7.1771 eV/atom.

```
data_TeP3Os2
_chemical_formula_sum 'Te1 P3 Os2'
_cell_length_a 5.322
_cell_length_b 3.122
_cell_length_c 6.118
_cell_angle_alpha 90.00
_cell_angle_beta 92.29
_cell_angle_gamma 90.00
_symmetry_space_group_name_H-M 'P 1 m 1'
_symmetry_Int_Tables_number 6
loop_
_symmetry_equiv_pos_as_xyz
'x,y,z'
'x,-y,z'
loop_
_atom_site_label
_atom_site_fract_x
_atom_site_fract_y
_atom_site_fract_z
_atom_site_occupancy
Te1 0.000 0.000 0.000 1
P1 0.360 0.000 0.281 1
P2 0.496 0.500 0.755 1
P3 0.830 0.500 0.503 1
Os1 0.174 0.000 0.611 1
Os2 0.637 0.500 0.144 1
```